Density functional theory data (PBE with a Hubbard U) for RbVRe2O8 after structural relaxation.

Computed properties:
E: -7.807 eV/atom

Cell and atoms, written as extended XYZ:
```
12
Lattice="5.8521 0.0000 0.0000 -2.9261 5.0681 0.0000 0.0000 0.0000 7.7140" Properties=species:S:1:pos:R:3 pbc="T T T"
Rb 0.0000 0.0000 0.0000
V 0.0000 0.0000 3.8570
Re 0.0000 3.3787 5.6548
Re 2.9261 1.6894 2.0592
O -0.0069 1.6894 5.0785
O -1.4596 4.2294 5.0785
O 1.4596 0.8507 2.6356
O 0.0000 3.3787 7.4191
O 2.9261 1.6894 0.2949
O 1.4665 4.2174 5.0785
O 4.3856 0.8387 2.6356
O 2.9330 3.3787 2.6356
```